No. 1
This record from Alexandria describes a PBEsol-optimized structure of La2POs. The functional is meta-GGA SCAN.

The structure belongs to space group I-4m2 (No. 119); the cell edges are 4.177, 4.177 and 9.897 Å and the angles 90.00°, 90.00° and 90.00°. The distinct sites, in fractional coordinates, are La at (0.000, 0.000, 0.000), La at (0.000, 0.500, 0.250), P at (0.000, 0.500, 0.750) and Os at (0.000, 0.000, 0.500).

For the energy of formation, the calculation gives -0.289 eV per atom. For the density of states at the Fermi level, the calculation gives 5.61 states/eV/f.u.

***

No. 2
This record from Alexandria describes a PBEsol-optimized structure of La2POsRh. The functional is meta-GGA SCAN.

The structure belongs to space group P4/mmm (No. 123); the cell edges are 5.474, 5.474 and 4.224 Å and the angles 90.00°, 90.00° and 90.00°. The distinct sites, in fractional coordinates, are La at (0.000, 0.500, 0.000), P at (0.000, 0.000, 0.000), Os at (0.000, 0.000, 0.500) and Rh at (0.500, 0.500, 0.500).

For the energy of formation, the calculation gives -0.170 eV per atom. For the density of states at the Fermi level, the calculation gives 2.60 states/eV/f.u.

***

No. 3
This record from Alexandria describes a PBEsol-optimized structure of La3OsPb. The functional is meta-GGA SCAN.

The structure belongs to space group Pm (No. 6); the cell edges are 8.249, 4.759 and 8.627 Å and the angles 90.00°, 117.57° and 90.00°. The distinct sites, in fractional coordinates, are La at (0.000, 0.000, 0.000), La at (0.037, 0.500, 0.712), La at (0.287, 0.000, 0.561), La at (0.406, 0.500, 0.288), La at (0.589, 0.500, 0.839), La at (0.804, 0.000, 0.268), Os at (0.144, 0.500, 0.435), Os at (0.908, 0.500, 0.118), Pb at (0.374, 0.000, 0.975) and Pb at (0.694, 0.000, 0.585).

For the energy of formation, the calculation gives -0.571 eV per atom. For the density of states at the Fermi level, the calculation gives 3.21 states/eV/f.u. The value obtained for the energy above the most stable polymorph in this dataset is 0 meV per atom.

***

No. 4
This record from Alexandria describes a PBEsol-optimized structure of La3OsPb. The functional is meta-GGA SCAN.

The structure belongs to space group Pm-3m (No. 221); the cell edges are 5.458, 5.458 and 5.458 Å and the angles 90.00°, 90.00° and 90.00°. The distinct sites, in fractional coordinates, are La at (0.000, 0.000, 0.500), Os at (0.000, 0.000, 0.000) and Pb at (0.500, 0.500, 0.500).

For the energy of formation, the calculation gives -0.530 eV per atom. For the density of states at the Fermi level, the calculation gives 2.56 states/eV/f.u. The value obtained for the energy above the most stable polymorph in this dataset is 41 meV per atom.

***

No. 5
This record from Alexandria describes a PBEsol-optimized structure of LaSiOs2Pb. The functional is meta-GGA SCAN.

The structure belongs to space group P4/mmm (No. 123); the cell edges are 4.969, 4.969 and 4.997 Å and the angles 90.00°, 90.00° and 90.00°. The distinct sites, in fractional coordinates, are La at (0.000, 0.000, 0.000), Si at (0.500, 0.500, 0.000), Os at (0.000, 0.500, 0.500) and Pb at (0.500, 0.500, 0.500).

For the density of states at the Fermi level, the calculation gives 4.65 states/eV/f.u. The value obtained for the formation energy (no corrections) is 158.71 kJ/mol of atoms.

***

No. 6
This record from Alexandria describes a PBEsol-optimized structure of LaOs2Pt. The functional is meta-GGA SCAN.

The structure belongs to space group R3m (No. 160, hexagonal axes); the cell edges are 2.8266, 2.8266 and 29.4978 Å and the angles 90.00°, 90.00° and 120.00°. The distinct sites, in fractional coordinates, are La at (0.0000, 0.0000, 0.0000), Os at (0.0000, 0.0000, 0.2381), Os at (0.0000, 0.0000, 0.5029) and Pt at (0.0000, 0.0000, 0.7592).

For the energy of formation, the calculation gives 0.401 eV per atom. For the density of states at the Fermi level, the calculation gives 3.85 states/eV/f.u. The value obtained for the energy above the most stable polymorph in this dataset is 0 meV per atom.

***

No. 7
This record from Alexandria describes a PBEsol-optimized structure of LaOs2Pt. The functional is meta-GGA SCAN.

The structure belongs to space group I4/mmm (No. 139); the cell edges are 4.096, 4.096 and 8.291 Å and the angles 90.00°, 90.00° and 90.00°. The distinct sites, in fractional coordinates, are La at (0.000, 0.000, 0.000), Os at (0.000, 0.500, 0.250) and Pt at (0.000, 0.000, 0.500).

For the energy of formation, the calculation gives 0.529 eV per atom. For the density of states at the Fermi level, the calculation gives 4.10 states/eV/f.u. The value obtained for the energy above the most stable polymorph in this dataset is 128 meV per atom.

***

No. 8
This record from Alexandria describes a PBEsol-optimized structure of LaTiOsPt2. The functional is meta-GGA SCAN.

The structure belongs to space group P4/mmm (No. 123); the cell edges are 4.922, 4.922 and 4.933 Å and the angles 90.00°, 90.00° and 90.00°. The distinct sites, in fractional coordinates, are La at (0.000, 0.000, 0.000), Ti at (0.500, 0.500, 0.000), Os at (0.000, 0.000, 0.500) and Pt at (0.000, 0.500, 0.500).

For the energy of formation, the calculation gives 0.628 eV per atom. For the density of states at the Fermi level, the calculation gives 5.67 states/eV/f.u.

***

No. 9
This record from Alexandria describes a PBEsol-optimized structure of RbLaOs3. The functional is meta-GGA SCAN.

The structure belongs to space group Pm-3m (No. 221); the cell edges are 4.766, 4.766 and 4.766 Å and the angles 90.00°, 90.00° and 90.00°. The distinct sites, in fractional coordinates, are Rb at (0.000, 0.000, 0.000), La at (0.500, 0.500, 0.500) and Os at (0.000, 0.000, 0.500).

For the energy of formation, the calculation gives 3.131 eV per atom. For the density of states at the Fermi level, the calculation gives 5.72 states/eV/f.u.

***

No. 10
This record from Alexandria describes a PBEsol-optimized structure of RbSr2LaOs. The functional is meta-GGA SCAN.

The structure belongs to space group P4/mmm (No. 123); the cell edges are 5.756, 5.756 and 5.029 Å and the angles 90.00°, 90.00° and 90.00°. The distinct sites, in fractional coordinates, are Rb at (0.000, 0.000, 0.000), Sr at (0.000, 0.500, 0.000), La at (0.500, 0.500, 0.500) and Os at (0.000, 0.000, 0.500).

For the energy of formation, the calculation gives 1.519 eV per atom. For the density of states at the Fermi level, the calculation gives 6.55 states/eV/f.u.

***

No. 11
This record from Alexandria describes a PBEsol-optimized structure of La2ReOs. The functional is meta-GGA SCAN.

The structure belongs to space group R3m (No. 160, hexagonal axes); the cell edges are 4.2113, 4.2113 and 19.1132 Å and the angles 90.00°, 90.00° and 120.00°. The distinct sites, in fractional coordinates, are La at (0.0000, 0.0000, 0.0000), La at (0.0000, 0.0000, 0.2074), Re at (0.0000, 0.0000, 0.7862) and Os at (0.0000, 0.0000, 0.4218).

For the energy of formation, the calculation gives -0.082 eV per atom. For the density of states at the Fermi level, the calculation gives 3.57 states/eV/f.u. The value obtained for the energy above the most stable polymorph in this dataset is 0 meV per atom.

***

No. 12
This record from Alexandria describes a PBEsol-optimized structure of La2ReOs. The functional is meta-GGA SCAN.

The structure belongs to space group P4mm (No. 99); the cell edges are 3.065, 3.065 and 9.557 Å and the angles 90.00°, 90.00° and 90.00°. The distinct sites, in fractional coordinates, are La at (0.000, 0.000, 0.000), La at (0.500, 0.500, 0.373), Re at (0.500, 0.500, 0.761) and Os at (0.000, 0.000, 0.613).

For the energy of formation, the calculation gives 0.149 eV per atom. For the density of states at the Fermi level, the calculation gives 3.24 states/eV/f.u. The value obtained for the energy above the most stable polymorph in this dataset is 232 meV per atom.

***

- Which formula does entry 4 have?
  La3OsPb

***

- Which value of density of states at the Fermi level does entry 6 give?
  3.85 states/eV/f.u.

***

- Which value of density of states at the Fermi level does entry 7 give?
  4.10 states/eV/f.u.